Density functional theory data (GGA-PBEsol) for an optimized crystal structure of CaCdCoCl2.

## Properties
**Space group**: P4/mmm, No. 123
**Uncorrected energy**: -3.077 eV per atom

Structure (POSCAR):
```
CaCdCoCl2
1.0
5.0267 0.0000 0.0000
0.0000 5.0267 0.0000
0.0000 0.0000 6.7701
Ca Cd Co Cl
1 1 1 2
Direct
0.0000 0.0000 0.0000
0.0000 0.0000 0.5000
0.5000 0.5000 0.5000
0.0000 0.5000 0.0000
0.5000 0.0000 0.0000
```